A geometry-optimized InOsRh2 structure, computed with GGA-PBE.

Results
Total DFT energy (no corrections) = -7.024 eV/atom
M_tot = 0.0 Bohr magnetons per cell
Formation enthalpy at 0 K = 0.144 eV per atom

```
4
Lattice="-1.987 1.987 3.933 1.987 -1.987 3.933 1.987 1.987 -3.933" Properties=species:S:1:pos:R:3 pbc="T T T"
In 0.000 0.000 0.000
Os 1.987 0.000 1.967
Rh 0.000 0.000 3.933
Rh 0.000 1.987 1.967
```